Below is a geometry-optimized MgCr2P2O10 structure, with properties calculated at the GGA+U level.

Output
symmetry	No. 70
VASP energy	-7.1345	eV per atom

a b c (Å): 9.7167 8.6696 6.6986
angles (deg): 77.26 60.49 42.25
Atoms (fractional coordinates):
1 Mg 0.1250 0.1250 0.1250
2 Mg 0.8750 0.8750 0.8750
3 Cr 0.0000 0.5000 0.5000
4 Cr 0.5000 0.0000 0.5000
5 Cr 0.5000 0.5000 0.0000
6 Cr 0.5000 0.5000 0.5000
7 P 0.0820 0.0820 0.6680
8 P 0.3320 0.3320 0.9180
9 P 0.6680 0.6680 0.0820
10 P 0.9180 0.9180 0.3320
11 O 0.0582 0.2211 0.4707
12 O 0.1143 0.4312 0.1581
13 O 0.1581 0.7963 0.1143
14 O 0.2037 0.8419 0.5688
15 O 0.2211 0.0582 0.7499
16 O 0.2501 0.5293 0.7789
17 O 0.2973 0.2973 0.4527
18 O 0.4312 0.1143 0.7963
19 O 0.4527 0.4527 0.2973
20 O 0.4707 0.7499 0.0582
21 O 0.5293 0.2501 0.9418
22 O 0.5473 0.5473 0.7027
23 O 0.5688 0.8857 0.2037
24 O 0.7027 0.7027 0.5473
25 O 0.7499 0.4707 0.2211
26 O 0.7789 0.9418 0.2501
27 O 0.7963 0.1581 0.4312
28 O 0.8419 0.2037 0.8857
29 O 0.8857 0.5688 0.8419
30 O 0.9418 0.7789 0.5293